Material: Pr4Ho8Sc
Method: DFT, GGA-PBE
State: optimized geometry

Its space group is No. 166. The value obtained for the formation energy is 539.4 meV per atom. The density of states at the Fermi level comes out at 24.2 states/eV/f.u.

a = 7.7681 Å, b = 7.7681 Å, c = 7.7681 Å
α = 90.15°, β = 90.15°, γ = 90.15°
With the nearest neighbours (Å) after each atom.
Fractional positions:
Pr1 0.0000 0.0000 0.0000  8 Ho 3.25-3.26
Pr2 0.0000 0.5000 0.5000  8 Ho 3.40
Pr3 0.5000 0.0000 0.5000  8 Ho 3.40
Pr4 0.5000 0.5000 0.0000  8 Ho 3.40
Ho1 0.2424 0.2424 0.2424  4 Pr 3.25-3.40, 1 Sc 3.46
Ho2 0.2418 0.2418 0.7565  4 Pr 3.26-3.40, 1 Sc 3.47
Ho3 0.2418 0.7565 0.2418  4 Pr 3.26-3.40, 1 Sc 3.47
Ho4 0.2435 0.7582 0.7582  4 Pr 3.26-3.40, 1 Sc 3.47
Ho5 0.7565 0.2418 0.2418  4 Pr 3.26-3.40, 1 Sc 3.47
Ho6 0.7582 0.2435 0.7582  4 Pr 3.26-3.40, 1 Sc 3.47
Ho7 0.7582 0.7582 0.2435  4 Pr 3.26-3.40, 1 Sc 3.47
Ho8 0.7576 0.7576 0.7576  4 Pr 3.25-3.40, 1 Sc 3.46
Sc1 0.5000 0.5000 0.5000  8 Ho 3.46-3.47


Material: Ga3AgBi
Method: DFT, GGA-PBE
State: optimized geometry

Its space group is No. 221. The value obtained for the formation energy is 271.7 meV per atom. The density of states at the Fermi level comes out at 3.7 states/eV/f.u. The calculation puts the energy above the most stable polymorph in this dataset at 0.000 eV/atom.

a = 5.0373 Å, b = 5.0373 Å, c = 5.0373 Å
α = 90.00°, β = 90.00°, γ = 90.00°
With the nearest neighbours (Å) after each atom.
Fractional positions:
Ga1 0.0000 0.0000 0.5000  2 Ag 2.52
Ga2 0.0000 0.5000 0.0000  2 Ag 2.52
Ga3 0.5000 0.0000 0.0000  2 Ag 2.52
Ag1 0.0000 0.0000 0.0000  6 Ga 2.52
Bi1 0.5000 0.5000 0.5000  12 Ga 3.56


Material: LaCe4Co2
Method: DFT, GGA-PBE
State: optimized geometry

Its space group is No. 11. The value obtained for the formation energy is -94.4 meV per atom. The density of states at the Fermi level comes out at 13.2 states/eV/f.u.

a = 7.3767 Å, b = 6.3789 Å, c = 8.0660 Å
α = 90.00°, β = 116.30°, γ = 90.00°
With the nearest neighbours (Å) after each atom.
Fractional positions:
La1 0.0459 0.2500 0.3893  4 Co 3.02-3.32, 1 Ce 3.26
La2 0.9541 0.7500 0.6107  4 Co 3.02-3.32, 1 Ce 3.26
Ce1 0.2132 0.5197 0.0692  3 Ce 2.85-2.94, 3 Co 2.85-3.13
Ce2 0.2132 0.9803 0.0692  3 Ce 2.85-2.94, 3 Co 2.85-3.13
Ce3 0.3259 0.2500 0.8358  2 Co 2.54-2.59
Ce4 0.3748 0.7500 0.5318  2 Co 2.23-2.34
Ce5 0.6252 0.2500 0.4682  2 Co 2.23-2.34
Ce6 0.6741 0.7500 0.1642  2 Co 2.54-2.59
Ce7 0.7868 0.0197 0.9308  3 Ce 2.85-2.94, 3 Co 2.85-3.13
Ce8 0.7868 0.4803 0.9308  3 Ce 2.85-2.94, 3 Co 2.85-3.13
Co1 0.0545 0.7500 0.2776  2 Ce 2.34-2.54
Co2 0.4090 0.7500 0.8210  1 Ce 2.23
Co3 0.5910 0.2500 0.1790  1 Ce 2.23
Co4 0.9455 0.2500 0.7224  2 Ce 2.34-2.54


Material: SrSb2As
Method: DFT, GGA-PBE
State: optimized geometry

Its space group is No. 6. The density of states at the Fermi level comes out at 2.5 states/eV/f.u. The calculation puts the total energy at -16.3 eV per formula unit.

a = 4.6679 Å, b = 4.2412 Å, c = 6.5392 Å
α = 90.00°, β = 108.66°, γ = 90.00°
With the nearest neighbours (Å) after each atom.
Fractional positions:
Sr1 0.0000 0.0000 0.0000  4 As 3.14-3.17, 2 Sb 3.47-3.50
Sb1 0.2736 0.0000 0.5597  2 Sb 2.95
Sb2 0.6298 0.5000 0.4397  1 As 2.68, 2 Sb 2.95
As1 0.5008 0.5000 0.0105  1 Sb 2.68


Material: Al2Ge2Au
Method: DFT, GGA-PBE
State: optimized geometry

Its space group is No. 127. The value obtained for the formation energy is 66.6 meV per atom. The density of states at the Fermi level comes out at 1.3 states/eV/f.u. The calculation puts the energy above the most stable polymorph in this dataset at 0.000 eV/atom.

a = 6.8386 Å, b = 6.8386 Å, c = 4.0277 Å
α = 90.00°, β = 90.00°, γ = 90.00°
With the nearest neighbours (Å) after each atom.
Fractional positions:
Al1 0.1443 0.3557 0.0000  2 Au 2.63, 1 Al 2.79, 6 Ge 2.81-2.86
Al2 0.3557 0.8557 0.0000  2 Au 2.63, 1 Al 2.79, 6 Ge 2.81-2.86
Al3 0.6443 0.1443 0.0000  2 Au 2.63, 1 Al 2.79, 6 Ge 2.81-2.86
Al4 0.8557 0.6443 0.0000  2 Au 2.63, 1 Al 2.79, 6 Ge 2.81-2.86
Ge1 0.1533 0.6533 0.5000  6 Al 2.81-2.86, 1 Ge 2.97
Ge2 0.3467 0.1533 0.5000  6 Al 2.81-2.86, 1 Ge 2.97
Ge3 0.6533 0.8467 0.5000  6 Al 2.81-2.86, 1 Ge 2.97
Ge4 0.8467 0.3467 0.5000  6 Al 2.81-2.86, 1 Ge 2.97
Au1 0.0000 0.0000 0.0000  4 Al 2.63
Au2 0.5000 0.5000 0.0000  4 Al 2.63


Material: ScCd2Br
Method: DFT, GGA-PBE
State: optimized geometry

Its space group is No. 25. The density of states at the Fermi level comes out at 2.6 states/eV/f.u. The calculation puts the energy above the most stable polymorph in this dataset at 0.131 eV/atom.

a = 3.4726 Å, b = 5.1178 Å, c = 5.5631 Å
α = 90.00°, β = 90.00°, γ = 90.00°
With the nearest neighbours (Å) after each atom.
Fractional positions:
Sc1 0.0000 0.0000 0.0000  2 Br 2.76
Cd1 0.5000 0.0000 0.4963  2 Cd 2.89
Cd2 0.5000 0.5000 0.2549  2 Cd 2.89, 2 Br 3.00
Br1 0.0000 0.5000 0.8144  2 Sc 2.76, 2 Cd 3.00


Material: LiThCl2
Method: DFT, GGA-PBE
State: optimized geometry

Its space group is No. 166. The density of states at the Fermi level comes out at 2.3 states/eV/f.u. The calculation puts the total energy at -18.3 eV per formula unit.

a = 8.7039 Å, b = 8.7039 Å, c = 8.7039 Å
α = 24.29°, β = 24.29°, γ = 24.29°
With the nearest neighbours (Å) after each atom.
Fractional positions:
Li1 0.0000 0.0000 0.0000  6 Cl 2.55
Th1 0.5000 0.5000 0.5000  2 Cl 2.79
Cl1 0.3899 0.3899 0.3899  3 Li 2.55, 1 Th 2.79
Cl2 0.6101 0.6101 0.6101  3 Li 2.55, 1 Th 2.79


Material: Tl2AgBF
Method: DFT, GGA-PBE
State: optimized geometry

Its space group is No. 123. The density of states at the Fermi level comes out at 1.5 states/eV/f.u. The calculation puts the total energy at -15.0 eV per formula unit.

a = 5.6210 Å, b = 5.6210 Å, c = 4.1358 Å
α = 90.00°, β = 90.00°, γ = 90.00°
With the nearest neighbours (Å) after each atom.
Fractional positions:
Tl1 0.0000 0.5000 0.0000  2 Ag 2.81
Tl2 0.5000 0.0000 0.0000  2 Ag 2.81
Ag1 0.0000 0.0000 0.0000  2 B 2.07
B1 0.0000 0.0000 0.5000  2 Ag 2.07
F1 0.5000 0.5000 0.5000  8 Tl 3.49


Q: Number 3 is which compound?
A: LaCe4Co2